1.
The following is a PBE-GGA calculation of Ac2La4Sb3H2 after structural relaxation, from Alexandria. Values from VASP.

- magnetization (μB/f.u.) = 0.0
- VASP energy (eV/atom) = -5.08

Structure (Quantum ESPRESSO input):
```
&SYSTEM
  ibrav = 0, nat = 11, ntyp = 4
/
ATOMIC_SPECIES
Ac 227.00 Ac.upf
La 138.91 La.upf
Sb 121.76 Sb.upf
H 1.01 H.upf
ATOMIC_POSITIONS angstrom
Ac -5.4746 -1.2816 5.6482
Ac -6.1792 -0.1935 1.4516
La -8.9679 -3.1527 6.3105
La -8.8716 0.2294 7.1713
La -2.7821 -1.7045 -0.0715
La -2.6858 1.6776 0.7893
Sb 0.0000 0.0000 0.0000
Sb -3.1031 -0.7265 3.2016
Sb -8.5506 -0.7487 3.8983
H -7.2795 -1.7042 7.5105
H -4.3742 0.2291 -0.4106
CELL_PARAMETERS angstrom
-2.4390 4.0417 -1.4469
-2.6317 -2.7225 -3.1685
-6.5830 -2.7943 11.7154
```

2.
The following is a PBE-GGA calculation of Pr4SmIn after structural relaxation, from Alexandria. Values from VASP.

- ΔE_f (eV per atom) = -0.1408
- magnetization (μB/f.u.) = 0.0
- VASP energy (eV/atom) = -4.57
- E above lowest polymorph (meV/atom) = 0.0

Structure (Quantum ESPRESSO input):
```
&SYSTEM
  ibrav = 0, nat = 6, ntyp = 3
/
ATOMIC_SPECIES
Pr 140.91 Pr.upf
Sm 150.36 Sm.upf
In 114.82 In.upf
ATOMIC_POSITIONS angstrom
Pr 1.8450 1.8450 2.5999
Pr 0.0000 0.0000 9.6116
Pr 0.0000 0.0000 5.2824
Pr 1.8450 1.8450 12.2941
Sm 0.0000 0.0000 0.0000
In 1.8450 1.8450 7.4470
CELL_PARAMETERS angstrom
3.6900 0.0000 0.0000
0.0000 3.6900 0.0000
0.0000 0.0000 14.8940
```

3.
The following is a PBE-GGA calculation of PmTh2Pt9 after structural relaxation, from Alexandria. Values from VASP.

- ΔE_f (eV per atom) = -1.0701
- magnetization (μB/f.u.) = 0.0
- VASP energy (eV/atom) = -7.23
- E above lowest polymorph (meV/atom) = 0.0

Structure (Quantum ESPRESSO input):
```
&SYSTEM
  ibrav = 0, nat = 12, ntyp = 3
/
ATOMIC_SPECIES
Pm 145.00 Pm.upf
Th 232.04 Th.upf
Pt 195.08 Pt.upf
ATOMIC_POSITIONS angstrom
Pm 0.0000 0.0000 0.0000
Th 1.3525 -1.6436 3.5890
Th 2.7435 -3.3340 7.2803
Pt 1.3248 -2.2071 -1.5099
Pt 2.6913 -3.8677 2.1163
Pt 4.0543 -5.5240 5.7331
Pt 0.0988 -2.7479 1.1540
Pt 1.4639 -4.4068 4.7765
Pt 2.8289 -6.0656 8.3989
Pt 2.5919 -1.1190 0.9605
Pt 3.9569 -2.7778 4.5829
Pt 5.3220 -4.4367 8.2053
CELL_PARAMETERS angstrom
-1.1682 -3.8360 -1.3164
3.8179 -0.5781 -1.7035
4.0959 -4.9775 10.8693
```

4.
The following is a PBE-GGA calculation of Ti6FeRh after structural relaxation, from Alexandria. Values from VASP.

- ΔE_f (eV per atom) = -0.2784
- magnetization (μB/f.u.) = 0.0
- VASP energy (eV/atom) = -8.18

Structure (Quantum ESPRESSO input):
```
&SYSTEM
  ibrav = 0, nat = 8, ntyp = 3
/
ATOMIC_SPECIES
Ti 47.87 Ti.upf
Fe 55.84 Fe.upf
Rh 102.91 Rh.upf
ATOMIC_POSITIONS angstrom
Ti -1.5970 1.7440 2.4459
Ti -2.9180 0.8407 4.7543
Ti -4.2826 2.5414 2.6506
Ti -2.5498 0.6491 -0.0032
Ti -4.7364 5.1725 7.2541
Ti -1.1853 -1.0517 2.1005
Fe -3.1667 3.4583 4.8500
Rh 0.0000 0.0000 0.0000
CELL_PARAMETERS angstrom
-1.8021 1.7575 6.9536
-4.5312 5.1590 2.7463
0.8655 -5.4268 -4.9488
```

5.
The following is a PBE-GGA calculation of Sc2AlBi2 after structural relaxation, from Alexandria. Values from VASP.

- ΔE_f (eV per atom) = -0.3028
- magnetization (μB/f.u.) = 0.3
- VASP energy (eV/atom) = -5.14
- E above lowest polymorph (meV/atom) = 0.0

Structure (Quantum ESPRESSO input):
```
&SYSTEM
  ibrav = 0, nat = 10, ntyp = 3
/
ATOMIC_SPECIES
Sc 44.96 Sc.upf
Bi 208.98 Bi.upf
Al 26.98 Al.upf
ATOMIC_POSITIONS angstrom
Sc 2.7283 6.6109 0.0000
Sc 6.6109 5.0369 0.0000
Sc 5.0369 1.1543 0.0000
Sc 1.1543 2.7283 0.0000
Bi 1.2631 5.1456 2.0809
Bi 5.1456 6.5021 2.0809
Bi 6.5021 2.6195 2.0809
Bi 2.6195 1.2631 2.0809
Al 0.0000 0.0000 0.0000
Al 3.8826 3.8826 0.0000
CELL_PARAMETERS angstrom
7.7652 0.0000 0.0000
0.0000 7.7652 0.0000
0.0000 0.0000 4.1618
```

6.
The following is a PBE-GGA calculation of LiNdSn2Rh after structural relaxation, from Alexandria. Values from VASP.

- ΔE_f (eV per atom) = -0.5840
- magnetization (μB/f.u.) = 0.0
- VASP energy (eV/atom) = -4.99

Structure (Quantum ESPRESSO input):
```
&SYSTEM
  ibrav = 0, nat = 5, ntyp = 4
/
ATOMIC_SPECIES
Li 6.94 Li.upf
Nd 144.24 Nd.upf
Sn 118.71 Sn.upf
Rh 102.91 Rh.upf
ATOMIC_POSITIONS angstrom
Li 2.2182 0.0000 2.8355
Nd 0.0000 0.0000 0.0000
Sn 2.2182 2.2182 1.4215
Sn 0.0000 0.0000 4.2494
Rh 0.0000 2.2182 2.8355
CELL_PARAMETERS angstrom
4.4365 0.0000 0.0000
0.0000 4.4365 0.0000
-2.2182 -2.2182 5.6709
```

7.
The following is a PBE-GGA calculation of Tm3Zr2Sc4 after structural relaxation, from Alexandria. Values from VASP.

- ΔE_f (eV per atom) = 0.0982
- magnetization (μB/f.u.) = 0.0
- VASP energy (eV/atom) = -6.11
- E above lowest polymorph (meV/atom) = 0.0

Structure (Quantum ESPRESSO input):
```
&SYSTEM
  ibrav = 0, nat = 9, ntyp = 3
/
ATOMIC_SPECIES
Tm 168.93 Tm.upf
Zr 91.22 Zr.upf
Sc 44.96 Sc.upf
ATOMIC_POSITIONS angstrom
Tm 0.0000 0.0000 0.0000
Tm 4.1996 -6.6905 0.2984
Tm 7.9006 -7.3837 -0.7919
Zr 7.9780 -10.5122 -0.1987
Zr 4.1221 -3.5621 -0.2949
Sc 5.1967 -9.8363 0.7659
Sc 6.9035 -4.2380 -1.2594
Sc 11.0037 -10.8680 -0.8925
Sc 1.0965 -3.2063 0.3990
CELL_PARAMETERS angstrom
0.4452 -3.4984 3.7354
1.6994 -5.6326 -1.9453
9.9555 -4.9433 -2.2837
```

8.
The following is a PBE-GGA calculation of La2PbAu8 after structural relaxation, from Alexandria. Values from VASP.

- ΔE_f (eV per atom) = -0.4944
- magnetization (μB/f.u.) = 0.0
- VASP energy (eV/atom) = -4.11

Structure (Quantum ESPRESSO input):
```
&SYSTEM
  ibrav = 0, nat = 11, ntyp = 3
/
ATOMIC_SPECIES
La 138.91 La.upf
Pb 207.20 Pb.upf
Au 196.97 Au.upf
ATOMIC_POSITIONS angstrom
La 2.9355 3.9494 0.5489
La 1.1633 2.1592 4.2974
Pb 2.6021 -0.0247 -0.6920
Au 0.3004 2.1589 1.2137
Au 4.1197 1.0380 5.0085
Au 3.5516 2.7032 -2.3197
Au 3.3409 1.3464 2.0369
Au 0.7579 4.7622 2.8094
Au 0.9603 2.6730 -1.6030
Au -0.0209 5.0706 -0.1623
Au 3.7984 3.9497 3.6325
CELL_PARAMETERS angstrom
5.2043 -0.0494 -1.3840
-0.6924 5.4256 -2.5387
-0.4131 0.7325 8.7690
```

Q: magnetization of number 6 (LiNdSn2Rh)?
A: 0.0 μB/f.u.